No. 1
# KPt | the Alexandria database | PBEsol | optimized geometry
# spin magnetization	0.00	μB/f.u.
# V	56	Å³/f.u.
# calculated formation energy	135	meV/atom
data_KPt
_chemical_formula_sum 'K4 Pt4'
_cell_length_a 4.6406
_cell_length_b 5.5092
_cell_length_c 8.8246
_cell_angle_alpha 90.00
_cell_angle_beta 90.00
_cell_angle_gamma 90.00
_symmetry_space_group_name_H-M 'I m m a'
_symmetry_Int_Tables_number 74
_symmetry_space_group_name_Hall '-I 2b 2'
loop_
_atom_site_label
_atom_site_type_symbol
_atom_site_fract_x
_atom_site_fract_y
_atom_site_fract_z
K1 K 0.0000 0.2500 0.0975
Pt1 Pt 0.0000 0.2500 0.7085

***

No. 2
# Ta2CoTe | the Alexandria database | PBEsol | optimized geometry
# spin magnetization	0.00	μB/f.u.
# E_form (uncorrected)	0.1650	eV/atom
# V	65	Å³/f.u.
data_Ta2CoTe
_chemical_formula_sum 'Ta2 Co1 Te1'
_cell_length_a 3.4632
_cell_length_b 4.3285
_cell_length_c 4.3585
_cell_angle_alpha 90.00
_cell_angle_beta 90.00
_cell_angle_gamma 90.00
_symmetry_space_group_name_H-M 'P m m m'
_symmetry_Int_Tables_number 47
_symmetry_space_group_name_Hall '-P 2 2'
loop_
_atom_site_label
_atom_site_type_symbol
_atom_site_fract_x
_atom_site_fract_y
_atom_site_fract_z
Ta1 Ta 0.0000 0.0000 0.0000
Ta2 Ta 0.5000 0.5000 0.0000
Co1 Co 0.0000 0.5000 0.5000
Te1 Te 0.5000 0.0000 0.5000

***

spin magnetization of number 2 (Ta2CoTe)? 0.00 μB/f.u.